(1)
A plane-wave DFT calculation with PBE was carried out for NaLiTlSn after structural relaxation.

## Properties
Space group: P4mm
ΔH_f (0 K) (meV/atom): -217
DFT total energy (eV per atom): -2.62
Density of states at the Fermi level (states/eV per atom): 0.317
Calculated volume (A^3/atom): 23.83
Energy above the lowest structure with this stoichiometry (eV per atom): 0.000

abc: 3.4654 3.4654 7.9379
angles: 90.00 90.00 90.00
Fractional positions:
Tl  0.5000  0.5000  0.7855
Na  0.0000  0.0000  0.0769
Sn  0.5000  0.5000  0.3601
Li  0.0000  0.0000  0.5621


(2)
A plane-wave DFT calculation with PBE was carried out for NaLiTlSn after structural relaxation.

## Properties
Space group: F-43m
ΔH_f (0 K) (meV/atom): -160
DFT total energy (eV per atom): -2.56
Density of states at the Fermi level (states/eV per atom): 0.749
Calculated volume (A^3/atom): 23.89
Energy above the lowest structure with this stoichiometry (eV per atom): 0.058

abc: 5.1316 5.1316 5.1316
angles: 60.00 60.00 60.00
Fractional positions:
Sn  0.2500  0.2500  0.2500
Tl  0.7500  0.7500  0.7500
Li  0.0000  0.0000  0.0000
Na  0.5000  0.5000  0.5000


(3)
A plane-wave DFT calculation with PBE was carried out for NaLiTmSn after structural relaxation.

## Properties
Space group: F-43m
ΔH_f (0 K) (meV/atom): -229
DFT total energy (eV per atom): -3.16
Density of states at the Fermi level (states/eV per atom): 0.713
Calculated volume (A^3/atom): 24.42

abc: 5.1697 5.1697 5.1697
angles: 60.00 60.00 60.00
Fractional positions:
Tm  0.7500  0.7500  0.7500
Na  0.2500  0.2500  0.2500
Li  0.0000  0.0000  0.0000
Sn  0.5000  0.5000  0.5000


(4)
A plane-wave DFT calculation with PBE was carried out for NaLi2Zn2Sn2 after structural relaxation.

## Properties
Space group: R-3m
ΔH_f (0 K) (meV/atom): -209
DFT total energy (eV per atom): -2.45
Density of states at the Fermi level (states/eV per atom): 0.296
Calculated volume (A^3/atom): 22.28

abc: 4.4990 4.4990 9.2680
angles: 75.95 75.95 60.00
Fractional positions:
Zn  0.4451  0.4451  0.6648
Zn  0.5549  0.5549  0.3352
Sn  0.7485  0.7485  0.7546
Sn  0.2515  0.2515  0.2454
Na  0.0000  0.0000  0.0000
Li  0.1408  0.1408  0.5775
Li  0.8592  0.8592  0.4225